(1)
An optimized crystal structure of KCrTe2. Source: Alexandria via LeMat-Bulk, functional PBE-GGA.

The structure in POSCAR format:
```
KCrTe2
1.0
4.1495 0.0000 0.0000
2.0747 3.5935 0.0000
2.0747 1.1978 8.0296
K Cr Te
1 1 2
direct
0.4995 0.4995 0.5016
0.6670 0.6670 0.9990
0.0594 0.0594 0.8219
0.2742 0.2742 0.1775
```

Values from the calculation:
Formation energy (no corrections) in eV/f.u.: -2.22
ρ in g/cm³: 4.8
Total DFT energy (no corrections) in eV/atom: -4.8059

(2)
An optimized crystal structure of SrIn3Fe. Source: Alexandria via LeMat-Bulk, functional PBE-GGA.

The structure in POSCAR format:
```
SrIn3Fe
1.0
-2.2104 3.1619 -3.2755
-3.9452 -3.1475 -0.3761
-2.2721 2.3891 3.8395
Sr Fe In
1 1 3
direct
0.5000 0.5000 0.5000
0.0000 0.0000 0.0000
0.0000 0.5000 0.0000
0.0000 0.0000 0.5000
0.5000 0.0000 0.0000
```

Values from the calculation:
ρ in g/cm³: 6.3
E_form in eV/atom: -0.12
Total DFT energy (no corrections) in eV/atom: -3.7959